The following is a PBE calculation of a relaxed Co24Re5 crystal, from OQMD via LeMat-Bulk.

Unit cell a=7.497 b=7.497 c=7.497 alpha=109.47 beta=109.47 gamma=109.47
Positions (direct):
Co 0.816 0.624 0.624
Co 0.808 0.808 0.184
Co 0.624 0.816 0.624
Co 0.000 0.681 0.399
Re 0.357 0.357 0.357
Re 0.643 0.000 0.000
Co 0.808 0.184 0.808
Co 0.319 0.719 0.319
Co 0.000 0.376 0.192
Co 0.281 0.601 0.601
Re 0.000 0.643 0.000
Re 0.000 0.000 0.000
Co 0.184 0.808 0.808
Co 0.601 0.281 0.601
Co 0.000 0.399 0.681
Co 0.681 0.000 0.399
Co 0.000 0.192 0.376
Co 0.601 0.601 0.281
Co 0.681 0.399 0.000
Co 0.376 0.000 0.192
Co 0.399 0.681 0.000
Co 0.624 0.624 0.816
Co 0.376 0.192 0.000
Co 0.319 0.319 0.719
Co 0.192 0.376 0.000
Co 0.192 0.000 0.376
Co 0.399 0.000 0.681
Co 0.719 0.319 0.319
Re 0.000 0.000 0.643

**Size of the total moment**: 32.95 μB per cell
**Density**: 12.01 g cm⁻³
**E_tot**: -7.96 eV/atom
**Volume**: 324 Å³ per cell
**SG**: I-43m, No. 217
**Energy of formation**: 0.07 eV/atom